# 1
Compound: CrPtW3
Source: Alexandria via LeMat-Bulk
Functional: PBE
Structure: optimized geometry

The structure belongs to space group Pm-3m (No. 221); the cell edges are 4.781, 4.781 and 4.781 Å and the angles 90.00°, 90.00° and 90.00°. Symmetry generates all atoms from Cr at (0.000, 0.000, 0.000), Pt at (0.500, 0.500, 0.500) and W at (0.000, 0.500, 0.500).

As for the final energy: -8.647 eV/atom. For the total magnetic moment, the calculation gives 3.3 μB/cell.

***

# 2
Compound: CrPt3W
Source: Alexandria via LeMat-Bulk
Functional: PBE
Structure: optimized geometry

The structure belongs to space group Pm-3m (No. 221); the cell edges are 4.540, 4.540 and 4.540 Å and the angles 90.00°, 90.00° and 90.00°. Symmetry generates all atoms from Cr at (0.000, 0.000, 0.000), Pt at (0.000, 0.000, 0.500) and W at (0.500, 0.500, 0.500).

As for the final energy: -6.757 eV/atom. For the total magnetic moment, the calculation gives 3.0 μB/cell.

***

# 3
Compound: CrPtW
Source: Alexandria via LeMat-Bulk
Functional: PBE
Structure: optimized geometry

The structure belongs to space group I4mm (No. 107); the cell edges are 2.702, 2.702 and 11.968 Å and the angles 90.00°, 90.00° and 90.00°. Symmetry generates all atoms from Cr at (0.000, 0.000, 0.000), Pt at (0.000, 0.000, 0.658) and W at (0.000, 0.000, 0.334).

As for the final energy: -9.549 eV/atom. For the total magnetic moment, the calculation gives 1.5 μB/cell.

***

# 4
Compound: CrPt2W
Source: Alexandria via LeMat-Bulk
Functional: PBE
Structure: optimized geometry

The structure belongs to space group P4/mmm (No. 123); the cell edges are 3.834, 3.834 and 4.028 Å and the angles 90.00°, 90.00° and 90.00°. Symmetry generates all atoms from Cr at (0.000, 0.000, 0.000), Pt at (0.000, 0.500, 0.500) and W at (0.500, 0.500, 0.000).

As for the final energy: -8.866 eV/atom. For the total magnetic moment, the calculation gives 1.3 μB/cell.

***

# 5
Compound: CrPt2W
Source: Alexandria via LeMat-Bulk
Functional: PBE
Structure: optimized geometry

The structure belongs to space group C2/m (No. 12); the cell edges are 9.174, 2.768 and 4.780 Å and the angles 90.00°, 100.36° and 90.00°. Symmetry generates all atoms from Cr at (0.000, 0.000, 0.000), Pt at (0.247, 0.500, 0.247) and W at (0.000, 0.500, 0.500).

As for the final energy: -8.692 eV/atom. For the total magnetic moment, the calculation gives 3.2 μB/cell.

***

# 6
Compound: CrPt2W
Source: Alexandria via LeMat-Bulk
Functional: PBE
Structure: optimized geometry

The structure belongs to space group Pmmm (No. 47); the cell edges are 2.736, 4.005 and 5.419 Å and the angles 90.00°, 90.00° and 90.00°. Symmetry generates all atoms from Cr at (0.000, 0.000, 0.000), Pt at (0.500, 0.500, 0.247) and W at (0.000, 0.000, 0.500).

As for the final energy: -8.843 eV/atom. For the total magnetic moment, the calculation gives 1.7 μB/cell.

***

# 7
Compound: CrPtW
Source: Alexandria via LeMat-Bulk
Functional: PBE
Structure: optimized geometry

The structure belongs to space group Imm2 (No. 44); the cell edges are 2.669, 3.909 and 8.380 Å and the angles 90.00°, 90.00° and 90.00°. Symmetry generates all atoms from Cr at (0.000, 0.000, 0.000), Pt at (0.000, 0.000, 0.665) and W at (0.000, 0.000, 0.341).

As for the final energy: -9.508 eV/atom. For the total magnetic moment, the calculation gives 0.0 μB/cell.

***

# 8
Compound: CrPtW
Source: Alexandria via LeMat-Bulk
Functional: PBE
Structure: optimized geometry

The structure belongs to space group F-43m (No. 216); the cell edges are 5.828, 5.828 and 5.828 Å and the angles 90.00°, 90.00° and 90.00°. Symmetry generates all atoms from Cr at (0.000, 0.000, 0.000), Pt at (0.250, 0.250, 0.250) and W at (0.250, 0.250, 0.750).

As for the final energy: -8.996 eV/atom. For the total magnetic moment, the calculation gives 0.0 μB/cell.

***

# 9
Compound: CrPtW3
Source: Alexandria via LeMat-Bulk
Functional: PBE
Structure: optimized geometry

The structure belongs to space group Pm-3m (No. 221); the cell edges are 4.445, 4.445 and 4.445 Å and the angles 90.00°, 90.00° and 90.00°. Symmetry generates all atoms from Cr at (0.000, 0.000, 0.000), Pt at (0.500, 0.500, 0.500) and W at (0.000, 0.000, 0.500).

As for the final energy: -9.559 eV/atom. For the total magnetic moment, the calculation gives 0.0 μB/cell.

***

# 10
Compound: CrPt3W
Source: Alexandria via LeMat-Bulk
Functional: PBE
Structure: optimized geometry

The structure belongs to space group Pm-3m (No. 221); the cell edges are 4.836, 4.836 and 4.836 Å and the angles 90.00°, 90.00° and 90.00°. Symmetry generates all atoms from Cr at (0.000, 0.000, 0.000), Pt at (0.000, 0.500, 0.500) and W at (0.500, 0.500, 0.500).

As for the final energy: -6.981 eV/atom. For the total magnetic moment, the calculation gives 4.0 μB/cell.

***

# 11
Compound: CrPt2W4
Source: Alexandria via LeMat-Bulk
Functional: PBE
Structure: optimized geometry

The structure belongs to space group I4/mmm (No. 139); the cell edges are 4.425, 4.425 and 12.952 Å and the angles 90.00°, 90.00° and 90.00°. Symmetry generates all atoms from Cr at (0.000, 0.000, 0.000), Pt at (0.000, 0.000, 0.371), W at (0.000, 0.000, 0.176) and W at (0.000, 0.500, 0.000).

As for the final energy: -9.330 eV/atom. For the total magnetic moment, the calculation gives 0.0 μB/cell.

***

# 12
Compound: YCr4Pt
Source: Alexandria via LeMat-Bulk
Functional: PBE
Structure: optimized geometry

The structure belongs to space group F-43m (No. 216); the cell edges are 7.058, 7.058 and 7.058 Å and the angles 90.00°, 90.00° and 90.00°. Symmetry generates all atoms from Y at (0.000, 0.000, 0.000), Cr at (0.127, 0.127, 0.627) and Pt at (0.250, 0.250, 0.250).

As for the final energy: -8.360 eV/atom. For the total magnetic moment, the calculation gives 0.0 μB/cell.

***

What did the twelfth record say?
Compound: YCr4Pt
Source: Alexandria via LeMat-Bulk
Functional: PBE
Structure: optimized geometry

The structure belongs to space group F-43m (No. 216); the cell edges are 7.058, 7.058 and 7.058 Å and the angles 90.00°, 90.00° and 90.00°. Symmetry generates all atoms from Y at (0.000, 0.000, 0.000), Cr at (0.127, 0.127, 0.627) and Pt at (0.250, 0.250, 0.250).

As for the final energy: -8.360 eV/atom. For the total magnetic moment, the calculation gives 0.0 μB/cell.

***

- Which formula does entry 6 have?
  CrPt2W